Here is crystalline Tb4ErPd5 at its relaxed geometry from Alexandria via LeMat-Bulk. Energies are from PBE.

a b c (Å): 5.8477 7.0265 7.0265
angles (deg): 80.03 65.41 65.41
With the nearest neighbours (Å) after each atom.
Fractional coordinates of all 10 atoms:
Pd1 0.8800 0.3865 0.8117  1 Er 2.81, 5 Tb 2.88-2.94
Pd2 0.0782 0.6135 0.1883  1 Er 2.81, 5 Tb 2.88-2.94
Pd3 0.5843 0.0000 0.0000  2 Er 2.92-2.93, 4 Tb 2.93
Pd4 0.6917 0.1883 0.3865  1 Er 2.81, 5 Tb 2.88-2.94
Pd5 0.2664 0.8117 0.6135  1 Er 2.81, 5 Tb 2.88-2.94
Tb1 0.3871 0.3976 0.7915  6 Pd 2.88-2.94
Tb2 0.7847 0.7915 0.6024  6 Pd 2.88-2.94
Tb3 0.5762 0.6024 0.2085  6 Pd 2.88-2.94
Tb4 0.1786 0.2085 0.3976  6 Pd 2.88-2.94
Er1 0.0831 0.0000 0.0000  6 Pd 2.81-2.93

Calculated values
Formation enthalpy at 0 K   -0.738 eV per atom
DOS(E_F)   0.756 states/eV/atom
Energy above the most stable polymorph in this dataset   134 meV/atom
Space-group type   I4